No. 1
Crystalline SrNiW at its relaxed geometry. Source: Alexandria, functional PBE.

total moment = 0.000 μB/cell
total DFT energy (no corrections) = -5.83 eV per atom

Cell: 3.191 3.191 6.918 Å, 90.00 90.00 120.00°
Fractional coordinates of all 3 atoms:
Sr: 0.000 0.000 0.000
Ni: 0.333 0.667 0.629
W: 0.667 0.333 0.397

***

No. 2
Crystalline SrNiW at its relaxed geometry. Source: Alexandria, functional PBE.

total moment = 6.357 μB/cell
total DFT energy (no corrections) = -4.80 eV per atom

Cell: 5.500 5.500 8.964 Å, 90.00 90.00 120.00°
Fractional coordinates of all 6 atoms:
Sr: 0.333 0.667 0.250
Sr: 0.667 0.333 0.750
Ni: 0.000 0.000 0.000
Ni: 0.000 0.000 0.500
W: 0.000 0.000 0.250
W: 0.000 0.000 0.750

***

No. 3
Crystalline SrNi2W at its relaxed geometry. Source: Alexandria, functional PBE.

total moment = 0.957 μB/cell
total DFT energy (no corrections) = -5.56 eV per atom

Cell: 5.453 5.453 5.453 Å, 139.17 139.17 59.12°
Fractional coordinates of all 4 atoms:
Sr: 0.000 0.000 0.000
Ni: 0.500 0.500 0.000
Ni: 0.750 0.250 0.500
W: 0.250 0.750 0.500

***

No. 4
Crystalline SrNi2W at its relaxed geometry. Source: Alexandria, functional PBE.

total moment = 0.001 μB/cell
total DFT energy (no corrections) = -5.80 eV per atom

Cell: 4.781 4.781 4.781 Å, 128.12 113.24 89.31°
Fractional coordinates of all 4 atoms:
Sr: 0.000 0.000 0.000
Ni: 0.306 0.806 0.500
Ni: 0.694 0.194 0.500
W: 0.500 0.500 0.000

***

No. 5
Crystalline SrNi2W at its relaxed geometry. Source: Alexandria, functional PBE.

total moment = 0.000 μB/cell
total DFT energy (no corrections) = -5.48 eV per atom

Cell: 4.512 4.512 4.512 Å, 60.00 60.00 60.00°
Fractional coordinates of all 4 atoms:
Sr: 0.000 0.000 0.000
Ni: 0.250 0.250 0.250
Ni: 0.500 0.500 0.500
W: 0.750 0.750 0.750

***

No. 6
Crystalline SrNi2W at its relaxed geometry. Source: Alexandria, functional PBE.

total moment = 0.000 μB/cell
total DFT energy (no corrections) = -5.91 eV per atom

Cell: 5.823 5.823 5.823 Å, 152.54 132.00 56.19°
Fractional coordinates of all 4 atoms:
Sr: 0.000 0.000 0.000
Ni: 0.509 0.509 0.000
Ni: 0.725 0.225 0.500
W: 0.292 0.792 0.500

***

No. 7
Crystalline SrNiW at its relaxed geometry. Source: Alexandria, functional PBE.

total moment = 0.000 μB/cell
total DFT energy (no corrections) = -6.16 eV per atom

Cell: 5.203 4.375 10.844 Å, 90.00 90.00 90.00°
Fractional coordinates of all 12 atoms:
Sr: 0.055 0.250 0.124
Sr: 0.445 0.750 0.624
Sr: 0.555 0.250 0.376
Sr: 0.945 0.750 0.876
Ni: 0.048 0.250 0.448
Ni: 0.452 0.750 0.948
Ni: 0.548 0.250 0.052
Ni: 0.952 0.750 0.552
W: 0.048 0.750 0.324
W: 0.452 0.250 0.824
W: 0.548 0.750 0.176
W: 0.952 0.250 0.676

***

No. 8
Crystalline SrNi2W at its relaxed geometry. Source: Alexandria, functional PBE.

total moment = 0.000 μB/cell
total DFT energy (no corrections) = -6.36 eV per atom

Cell: 5.979 5.979 5.979 Å, 41.01 41.01 41.01°
Fractional coordinates of all 4 atoms:
Sr: 0.000 0.000 0.000
Ni: 0.190 0.190 0.190
Ni: 0.810 0.810 0.810
W: 0.500 0.500 0.500